[1]
Below is crystalline Ba2SiS4 at its relaxed geometry, with properties calculated at the PBE level.

Cell lengths 6.823, 8.999, 12.411 Å; angles 90.00, 90.00, 90.00 degrees
Fractional coordinates of all 28 atoms:
S 0.005 0.176 0.146
S 0.495 0.676 0.354
S 0.250 0.810 0.087
S 0.495 0.176 0.146
S 0.995 0.824 0.854
S 0.250 0.496 0.907
S 0.750 0.504 0.093
S 0.750 0.190 0.913
S 0.005 0.676 0.354
S 0.250 0.996 0.593
S 0.995 0.324 0.646
S 0.250 0.310 0.413
S 0.505 0.324 0.646
S 0.750 0.004 0.407
S 0.505 0.824 0.854
S 0.750 0.690 0.587
Ba 0.750 0.870 0.079
Ba 0.750 0.018 0.670
Ba 0.250 0.630 0.579
Ba 0.250 0.982 0.330
Ba 0.250 0.130 0.921
Ba 0.750 0.518 0.830
Ba 0.750 0.370 0.421
Ba 0.250 0.482 0.170
Si 0.250 0.230 0.576
Si 0.250 0.730 0.924
Si 0.750 0.270 0.076
Si 0.750 0.770 0.424

Values from the calculation:
* energy relative to the lowest polymorph listed for this composition: 0.014 eV per atom
* ρ: 3.8 g/cm3
* E_tot: -148.3 eV/cell
* D(E_F): 0.000 states/eV per cell
* formation energy without anion corrections: -1.61 eV/atom
* symmetry: Pnma, No. 62


[2]
Below is crystalline Ba3SiS at its relaxed geometry, with properties calculated at the PBE level.

Cell lengths 5.979, 5.979, 5.979 Å; angles 90.00, 90.00, 90.00 degrees
Fractional coordinates of all 5 atoms:
S 0.000 0.000 0.000
Ba 0.500 0.000 0.000
Ba 0.000 0.000 0.500
Ba 0.000 0.500 0.000
Si 0.500 0.500 0.500

Values from the calculation:
* energy relative to the lowest polymorph listed for this composition: 0.000 eV per atom
* ρ: 3.7 g/cm3
* E_tot: -18.7 eV/cell
* D(E_F): 0.026 states/eV per cell
* formation energy without anion corrections: -0.68 eV/atom
* symmetry: Pm-3m, No. 221


[3]
Below is crystalline Ba2SiS4 at its relaxed geometry, with properties calculated at the PBE level.

Cell lengths 6.771, 6.786, 9.007 Å; angles 90.00, 108.08, 90.00 degrees
Fractional coordinates of all 14 atoms:
S 0.088 0.750 0.351
S 0.497 0.999 0.273
S 0.503 0.499 0.727
S 0.912 0.250 0.649
S 0.503 0.001 0.727
S 0.849 0.250 0.035
S 0.151 0.750 0.965
S 0.497 0.501 0.273
Ba 0.713 0.750 0.041
Ba 0.287 0.250 0.959
Ba 0.785 0.750 0.571
Ba 0.215 0.250 0.429
Si 0.705 0.250 0.787
Si 0.295 0.750 0.213

Values from the calculation:
* energy relative to the lowest polymorph listed for this composition: 0.000 eV per atom
* ρ: 3.6 g/cm3
* E_tot: -74.3 eV/cell
* D(E_F): 0.000 states/eV per cell
* formation energy without anion corrections: -1.63 eV/atom
* symmetry: P2_1/m, No. 11


Repeat the second record exactly.
Below is crystalline Ba3SiS at its relaxed geometry, with properties calculated at the PBE level.

Cell lengths 5.979, 5.979, 5.979 Å; angles 90.00, 90.00, 90.00 degrees
Fractional coordinates of all 5 atoms:
S 0.000 0.000 0.000
Ba 0.500 0.000 0.000
Ba 0.000 0.000 0.500
Ba 0.000 0.500 0.000
Si 0.500 0.500 0.500

Values from the calculation:
* energy relative to the lowest polymorph listed for this composition: 0.000 eV per atom
* ρ: 3.7 g/cm3
* E_tot: -18.7 eV/cell
* D(E_F): 0.026 states/eV per cell
* formation energy without anion corrections: -0.68 eV/atom
* symmetry: Pm-3m, No. 221


Q: The highest energy relative to the lowest polymorph listed for this composition belongs to which entry?
A: number 1


Q: Which of these has the lowest E_tot?
A: number 1